# 1
# Mg2CrTc, relaxed, DFT PBE
# - DOS at the Fermi energy (states/eV per atom) = 0.51
# - energy of formation from the pure elements (eV/atom) = 0.102
# - density (g cm⁻³) = 4.95
# - size of the total moment (μB/f.u.) = 0.00
data_Mg2CrTc
_chemical_formula_sum 'Mg2 Cr1 Tc1'
_space_group_name_H-M_alt 'P 1'
_space_group_IT_number 1
_space_group_name_Hall 'P 1'
_cell_length_a 3.072
_cell_length_b 3.072
_cell_length_c 7.062
_cell_angle_alpha 90.00
_cell_angle_beta 90.00
_cell_angle_gamma 90.00
loop_
_atom_site_label
_atom_site_type_symbol
_atom_site_fract_x
_atom_site_fract_y
_atom_site_fract_z
_atom_site_occupancy
Mg1 Mg 0.000 0.000 0.000 1
Mg2 Mg 0.500 0.500 0.317 1
Cr1 Cr 0.500 0.500 0.742 1
Tc1 Tc 0.000 0.000 0.579 1


# 2
# Mg2CrTc, relaxed, DFT PBE
# - DOS at the Fermi energy (states/eV per atom) = 1.08
# - energy of formation from the pure elements (eV/atom) = 0.498
# - density (g cm⁻³) = 5.17
# - size of the total moment (μB/f.u.) = 1.55
data_Mg2CrTc
_chemical_formula_sum 'Mg2 Cr1 Tc1'
_space_group_name_H-M_alt 'P 1'
_space_group_IT_number 1
_space_group_name_Hall 'P 1'
_cell_length_a 9.561
_cell_length_b 9.561
_cell_length_c 9.561
_cell_angle_alpha 16.82
_cell_angle_beta 16.82
_cell_angle_gamma 16.82
loop_
_atom_site_label
_atom_site_type_symbol
_atom_site_fract_x
_atom_site_fract_y
_atom_site_fract_z
_atom_site_occupancy
Mg1 Mg 0.250 0.250 0.250 1
Mg2 Mg 0.750 0.750 0.750 1
Cr1 Cr 0.500 0.500 0.500 1
Tc1 Tc 0.000 0.000 0.000 1


Q: Look up the DOS at the Fermi energy of the second one.
A: 1.08 states/eV per atom


Q: Look up the energy of formation from the pure elements of the second one.
A: 0.498 eV/atom


What did the second record say?
# Mg2CrTc, relaxed, DFT PBE
# - DOS at the Fermi energy (states/eV per atom) = 1.08
# - energy of formation from the pure elements (eV/atom) = 0.498
# - density (g cm⁻³) = 5.17
# - size of the total moment (μB/f.u.) = 1.55
data_Mg2CrTc
_chemical_formula_sum 'Mg2 Cr1 Tc1'
_space_group_name_H-M_alt 'P 1'
_space_group_IT_number 1
_space_group_name_Hall 'P 1'
_cell_length_a 9.561
_cell_length_b 9.561
_cell_length_c 9.561
_cell_angle_alpha 16.82
_cell_angle_beta 16.82
_cell_angle_gamma 16.82
loop_
_atom_site_label
_atom_site_type_symbol
_atom_site_fract_x
_atom_site_fract_y
_atom_site_fract_z
_atom_site_occupancy
Mg1 Mg 0.250 0.250 0.250 1
Mg2 Mg 0.750 0.750 0.750 1
Cr1 Cr 0.500 0.500 0.500 1
Tc1 Tc 0.000 0.000 0.000 1


Q: What is the size of the total moment in the second record?
A: 1.55 μB/f.u.